Record 1
Material: Nd2CrB10
Method: DFT, GGA-PBE
State: relaxed

Summary:
Its density of states at the Fermi level is 6.0 states/eV per cell. Its total magnetic moment is 2.6 μB/f.u. The energy of formation comes out at -0.43 eV per atom. The value obtained for the raw total energy is -7.045 eV/atom.

Cell and atoms, written as CIF:
```
data_Nd2CrB10
_symmetry_space_group_name_H-M 'P b a m'
_symmetry_Int_Tables_number 55
_cell_length_a 5.736
_cell_length_b 11.424
_cell_length_c 4.201
_cell_angle_alpha 90.00
_cell_angle_beta 90.00
_cell_angle_gamma 90.00
loop_
_symmetry_equiv_pos_as_xyz
'x,y,z'
'-x,-y,-z'
'-x,-y,z'
'x,y,-z'
'x+1/2,-y+1/2,-z'
'-x+1/2,y+1/2,z'
'-x+1/2,y+1/2,-z'
'x+1/2,-y+1/2,z'
loop_
_atom_site_label
_atom_site_type_symbol
_atom_site_fract_x
_atom_site_fract_y
_atom_site_fract_z
_atom_site_occupancy
Nd1 Nd 0.202 0.137 0.000 1
Cr1 Cr 0.000 0.500 0.500 1
B1 B 0.050 0.310 0.500 1
B2 B 0.123 0.958 0.500 1
B3 B 0.142 0.802 0.500 1
B4 B 0.216 0.383 0.201 1
```

Record 2
Material: IrPtRh6
Method: DFT, GGA-PBE
State: relaxed

Summary:
Its density of states at the Fermi level is 9.7 states/eV per cell. Its total magnetic moment is 0.0 μB/f.u. The energy of formation comes out at -0.03 eV per atom. The value obtained for the raw total energy is -7.403 eV/atom.

Cell and atoms, written as CIF:
```
data_IrPtRh6
_symmetry_space_group_name_H-M 'P 4/m m m'
_symmetry_Int_Tables_number 123
_symmetry_space_group_name_Hall '-P 4 2'
_cell_length_a 3.858
_cell_length_b 3.858
_cell_length_c 7.732
_cell_angle_alpha 90.00
_cell_angle_beta 90.00
_cell_angle_gamma 90.00
loop_
_atom_site_label
_atom_site_type_symbol
_atom_site_fract_x
_atom_site_fract_y
_atom_site_fract_z
_atom_site_occupancy
Ir1 Ir 0.000 0.000 0.000 1
Pt1 Pt 0.000 0.000 0.500 1
Rh1 Rh 0.000 0.500 0.245 1
Rh2 Rh 0.500 0.500 0.000 1
Rh3 Rh 0.500 0.500 0.500 1
```

Record 3
Material: SrCo5
Method: DFT, GGA-PBE
State: relaxed

Summary:
Its density of states at the Fermi level is 15.9 states/eV per cell. Its total magnetic moment is 7.7 μB/f.u. The energy of formation comes out at 0.52 eV per atom. The value obtained for the raw total energy is -5.684 eV/atom.

Cell and atoms, written as CIF:
```
data_SrCo5
_symmetry_space_group_name_H-M 'C m m m'
_symmetry_Int_Tables_number 65
_symmetry_space_group_name_Hall '-C 2 2'
_cell_length_a 3.990
_cell_length_b 11.127
_cell_length_c 3.975
_cell_angle_alpha 90.00
_cell_angle_beta 90.00
_cell_angle_gamma 90.00
loop_
_atom_site_label
_atom_site_type_symbol
_atom_site_fract_x
_atom_site_fract_y
_atom_site_fract_z
_atom_site_occupancy
Sr1 Sr 0.000 0.000 0.000 1
Co1 Co 0.000 0.195 0.500 1
Co2 Co 0.000 0.307 0.000 1
Co3 Co 0.000 0.500 0.500 1
```

Record 4
Material: CsTiTe3Pd
Method: DFT, GGA-PBE
State: relaxed

Summary:
The uncorrected formation energy is -4.5 eV/f.u. Its density of states at the Fermi level is 5.4 states/eV per cell. Its total magnetic moment is 0.0 μB/f.u. The value obtained for the raw total energy is -4.640 eV/atom.

Cell and atoms, written as CIF:
```
data_CsTiTe3Pd
_symmetry_space_group_name_H-M 'P 1 21/m 1'
_symmetry_Int_Tables_number 11
_cell_length_a 9.808
_cell_length_b 3.971
_cell_length_c 10.792
_cell_angle_alpha 90.00
_cell_angle_beta 115.21
_cell_angle_gamma 90.00
loop_
_symmetry_equiv_pos_as_xyz
'x,y,z'
'-x,-y,-z'
'-x,y+1/2,-z'
'x,-y+1/2,z'
loop_
_atom_site_label
_atom_site_type_symbol
_atom_site_fract_x
_atom_site_fract_y
_atom_site_fract_z
_atom_site_occupancy
Cs1 Cs 0.013 0.250 0.268 1
Ti1 Ti 0.462 0.250 0.172 1
Te1 Te 0.249 0.750 0.132 1
Te2 Te 0.329 0.750 0.561 1
Te3 Te 0.355 0.250 0.874 1
Pd1 Pd 0.470 0.750 0.387 1
```

Record 5
Material: Rb2SnHgAs
Method: DFT, GGA-PBE
State: relaxed

Summary:
Its density of states at the Fermi level is 2.5 states/eV per cell. Its total magnetic moment is 0.0 μB/f.u. The energy of formation comes out at -0.11 eV per atom. The value obtained for the raw total energy is -2.290 eV/atom.

Cell and atoms, written as CIF:
```
data_Rb2SnHgAs
_symmetry_space_group_name_H-M 'P 4/m m m'
_symmetry_Int_Tables_number 123
_symmetry_space_group_name_Hall '-P 4 2'
_cell_length_a 6.762
_cell_length_b 6.762
_cell_length_c 5.331
_cell_angle_alpha 90.00
_cell_angle_beta 90.00
_cell_angle_gamma 90.00
loop_
_atom_site_label
_atom_site_type_symbol
_atom_site_fract_x
_atom_site_fract_y
_atom_site_fract_z
_atom_site_occupancy
Rb1 Rb 0.000 0.500 0.000 1
Sn1 Sn 0.000 0.000 0.500 1
Hg1 Hg 0.500 0.500 0.500 1
As1 As 0.000 0.000 0.000 1
```

Record 6
Material: LaSeNO2
Method: DFT, GGA-PBE
State: relaxed

Summary:
The uncorrected formation energy is -5.2 eV/f.u. Its density of states at the Fermi level is 1.2 states/eV per cell. Its total magnetic moment is 0.0 μB/f.u. The value obtained for the raw total energy is -6.379 eV/atom.

Cell and atoms, written as CIF:
```
data_LaSeNO2
_symmetry_space_group_name_H-M 'P 4/m m m'
_symmetry_Int_Tables_number 123
_symmetry_space_group_name_Hall '-P 4 2'
_cell_length_a 4.059
_cell_length_b 4.059
_cell_length_c 4.037
_cell_angle_alpha 90.00
_cell_angle_beta 90.00
_cell_angle_gamma 90.00
loop_
_atom_site_label
_atom_site_type_symbol
_atom_site_fract_x
_atom_site_fract_y
_atom_site_fract_z
_atom_site_occupancy
La1 La 0.000 0.000 0.000 1
Se1 Se 0.500 0.500 0.500 1
N1 N 0.500 0.500 0.000 1
O1 O 0.000 0.500 0.500 1
```

Record 7
Material: Rb3Pu2ThO9
Method: DFT, GGA-PBE
State: relaxed

Summary:
The uncorrected formation energy is -39.7 eV/f.u. Its density of states at the Fermi level is 8.7 states/eV per cell. Its total magnetic moment is 5.0 μB/f.u. The value obtained for the raw total energy is -8.220 eV/atom.

Cell and atoms, written as CIF:
```
data_Rb3Pu2ThO9
_symmetry_space_group_name_H-M 'P -3 m 1'
_symmetry_Int_Tables_number 164
_symmetry_space_group_name_Hall '-P 3 2"'
_cell_length_a 6.1917
_cell_length_b 6.1917
_cell_length_c 7.5955
_cell_angle_alpha 90.00
_cell_angle_beta 90.00
_cell_angle_gamma 120.00
loop_
_atom_site_label
_atom_site_type_symbol
_atom_site_fract_x
_atom_site_fract_y
_atom_site_fract_z
_atom_site_occupancy
Rb1 Rb 0.0000 0.0000 0.0000 1
Rb2 Rb 0.3333 0.6667 0.6667 1
Pu1 Pu 0.3333 0.6667 0.1600 1
Th1 Th 0.0000 0.0000 0.5000 1
O1 O 0.0000 0.5000 0.0000 1
O2 O 0.1749 0.3497 0.3208 1
```

Record 8
Material: Ba2Li3Zn
Method: DFT, GGA-PBE
State: relaxed

Summary:
Its density of states at the Fermi level is 9.9 states/eV per cell. Its total magnetic moment is 0.0 μB/f.u. The energy of formation comes out at 0.00 eV per atom. The value obtained for the raw total energy is -1.807 eV/atom.

Cell and atoms, written as CIF:
```
data_Ba2Li3Zn
_symmetry_space_group_name_H-M 'C 1 2/m 1'
_symmetry_Int_Tables_number 12
_cell_length_a 10.926
_cell_length_b 6.303
_cell_length_c 6.574
_cell_angle_alpha 90.00
_cell_angle_beta 124.07
_cell_angle_gamma 90.00
loop_
_symmetry_equiv_pos_as_xyz
'x,y,z'
'-x,-y,-z'
'-x,y,-z'
'x,-y,z'
'x+1/2,y+1/2,z'
'-x+1/2,-y+1/2,-z'
'-x+1/2,y+1/2,-z'
'x+1/2,-y+1/2,z'
loop_
_atom_site_label
_atom_site_type_symbol
_atom_site_fract_x
_atom_site_fract_y
_atom_site_fract_z
_atom_site_occupancy
Ba1 Ba 0.125 0.000 0.374 1
Li1 Li 0.000 0.500 0.000 1
Li2 Li 0.250 0.250 0.000 1
Zn1 Zn 0.000 0.500 0.500 1
```

Record 9
Material: LiC2Se
Method: DFT, GGA-PBE
State: relaxed

Summary:
The uncorrected formation energy is 5.9 eV/f.u. Its density of states at the Fermi level is 4.0 states/eV per cell. The value obtained for the energy above the lowest structure with this stoichiometry is 0.000 eV/atom. Its total magnetic moment is 1.0 μB/f.u. The value obtained for the raw total energy is -4.494 eV/atom.

Cell and atoms, written as CIF:
```
data_LiC2Se
_symmetry_space_group_name_H-M 'I -4 2 d'
_symmetry_Int_Tables_number 122
_symmetry_space_group_name_Hall 'I -4 2bw'
_cell_length_a 5.088
_cell_length_b 5.088
_cell_length_c 7.958
_cell_angle_alpha 90.00
_cell_angle_beta 90.00
_cell_angle_gamma 90.00
loop_
_atom_site_label
_atom_site_type_symbol
_atom_site_fract_x
_atom_site_fract_y
_atom_site_fract_z
_atom_site_occupancy
Li1 Li 0.000 0.000 0.000 1
C1 C 0.209 0.250 0.625 1
Se1 Se 0.000 0.000 0.500 1
```

Record 10
Material: Cs2MnTe2S6
Method: DFT, GGA-PBE
State: relaxed

Summary:
The uncorrected formation energy is -5.5 eV/f.u. Its total magnetic moment is 5.0 μB/f.u. The value obtained for the raw total energy is -4.314 eV/atom.

Cell and atoms, written as CIF:
```
data_Cs2MnTe2S6
_symmetry_space_group_name_H-M 'P -3 c 1'
_symmetry_Int_Tables_number 165
_symmetry_space_group_name_Hall '-P 3 2"c'
_cell_length_a 7.0083
_cell_length_b 7.0083
_cell_length_c 16.3336
_cell_angle_alpha 90.00
_cell_angle_beta 90.00
_cell_angle_gamma 120.00
loop_
_atom_site_label
_atom_site_type_symbol
_atom_site_fract_x
_atom_site_fract_y
_atom_site_fract_z
_atom_site_occupancy
Cs1 Cs 0.3333 0.6667 0.2085 1
Mn1 Mn 0.0000 0.0000 0.0000 1
Te1 Te 0.3333 0.6667 0.4647 1
S1 S 0.0974 0.3227 0.3988 1
```